# PBE ZrSc2P, relaxed
# **Magnetization**: 0.000 μB/cell
data_ZrSc2P
_chemical_formula_sum 'Zr1 Sc2 P1'
_cell_length_a 3.880
_cell_length_b 3.782
_cell_length_c 5.631
_cell_angle_alpha 90.00
_cell_angle_beta 99.17
_cell_angle_gamma 90.00
_space_group_name_H-M_alt 'P 1 2/m 1'
_space_group_IT_number 10
loop_
_space_group_symop_operation_xyz
'x,y,z'
'-x,-y,-z'
'-x,y,-z'
'x,-y,z'
loop_
_atom_site_label
_atom_site_type_symbol
_atom_site_fract_x
_atom_site_fract_y
_atom_site_fract_z
Zr1 Zr 0.000 0.000 0.000
Sc1 Sc 0.412 0.500 0.728
P1 P 0.000 0.000 0.500

***

# PBE Zr2ScP, relaxed
# **Magnetization**: 0.000 μB/cell
data_Zr2ScP
_chemical_formula_sum 'Zr2 Sc1 P1'
_cell_length_a 3.820
_cell_length_b 3.856
_cell_length_c 5.677
_cell_angle_alpha 90.00
_cell_angle_beta 99.68
_cell_angle_gamma 90.00
_space_group_name_H-M_alt 'P 1 2/m 1'
_space_group_IT_number 10
loop_
_space_group_symop_operation_xyz
'x,y,z'
'-x,-y,-z'
'-x,y,-z'
'x,-y,z'
loop_
_atom_site_label
_atom_site_type_symbol
_atom_site_fract_x
_atom_site_fract_y
_atom_site_fract_z
Zr1 Zr 0.102 0.000 0.278
Sc1 Sc 0.500 0.500 0.000
P1 P 0.500 0.500 0.500

***

# PBE ZrSc2P, relaxed
# **Magnetization**: 0.000 μB/cell
data_ZrSc2P
_chemical_formula_sum 'Zr2 Sc4 P2'
_cell_length_a 3.390
_cell_length_b 4.686
_cell_length_c 10.263
_cell_angle_alpha 90.00
_cell_angle_beta 90.00
_cell_angle_gamma 90.00
_space_group_name_H-M_alt 'I m m m'
_space_group_IT_number 71
_space_group_name_Hall '-I 2 2'
loop_
_atom_site_label
_atom_site_type_symbol
_atom_site_fract_x
_atom_site_fract_y
_atom_site_fract_z
Zr1 Zr 0.000 0.000 0.000
Sc1 Sc 0.000 0.500 0.197
P1 P 0.000 0.000 0.500

***

Computed energy relative to the elements, in the same sequence as the records: -0.481; -0.440; -0.548 eV per atom.
Computed electronic total energy, in the same sequence as the records: -7.136; -7.650; -7.203 eV per atom.